## LiHgPdPt (GGA-PBE)

Data for a relaxed LiHgPdPt crystal.

Cell and atoms, written as extended XYZ:
```
4
Lattice="4.0533 0.0000 0.0000 0.0000 4.0533 0.0000 -2.0267 -2.0267 3.9583" Properties=species:S:1:pos:R:3 pbc="T T T"
Pt 0.0000 2.0267 1.9792
Pd 2.0267 2.0267 0.0000
Li 2.0267 0.0000 1.9792
Hg 0.0000 0.0000 0.0000
```

Calculated values
N(E_F) in states/eV/atom: 0.34
Formation energy in eV per atom: -0.304
Excess energy over the best structure of this formula in the dataset in meV per atom: 0
V in Å³ per atom: 16.26

***

## Li2PuHgPd2 (GGA-PBE)

Data for a relaxed Li2PuHgPd2 crystal.

Cell and atoms, written as extended XYZ:
```
6
Lattice="-2.7735 -0.9648 3.2821 -1.1841 -0.7484 -4.1753 2.5436 -6.0668 0.3662" Properties=species:S:1:pos:R:3 pbc="T T T"
Pu 0.0000 0.0000 0.0000
Hg 1.2718 -3.0334 0.1831
Li -0.0646 -4.7543 -1.4521
Li -1.3494 -3.0257 0.9251
Pd -1.1350 -2.2014 -1.6062
Pd -0.2791 -5.5786 1.0791
```

Calculated values
N(E_F) in states/eV/atom: 2.48
Formation energy in eV per atom: -0.356
V in Å³ per atom: 18.44

***

## LiPuHgPd (GGA-PBE)

Data for a relaxed LiPuHgPd crystal.

Cell and atoms, written as extended XYZ:
```
4
Lattice="-2.5227 0.1768 4.1449 -4.8057 -0.6916 -0.0514 -1.8879 -4.0646 1.8683" Properties=species:S:1:pos:R:3 pbc="T T T"
Pu -4.6081 -2.2897 2.9809
Pd -2.3041 -1.1448 1.4905
Li -6.9122 -3.4345 4.4714
Hg 0.0000 0.0000 0.0000
```

Calculated values
N(E_F) in states/eV/atom: 2.62
Formation energy in eV per atom: -0.227
V in Å³ per atom: 20.24

***

## Rb2LiHg6Pd (GGA-PBE)

Data for a relaxed Rb2LiHg6Pd crystal.

Cell and atoms, written as extended XYZ:
```
10
Lattice="-0.5575 5.7426 4.6335 -5.0056 -4.0170 4.3741 1.1146 -1.2026 7.5731" Properties=species:S:1:pos:R:3 pbc="T T T"
Rb -3.3990 -2.5772 8.7165
Rb -1.0496 3.1002 7.8642
Hg -0.3595 -0.3260 9.6207
Hg -0.5966 2.1945 11.6601
Hg -4.0891 0.8489 6.9600
Hg -3.8519 -1.6716 4.9206
Hg -3.3160 0.9676 10.2565
Hg -1.1326 -0.4447 6.3242
Pd -2.7816 0.8628 4.5038
Li 0.0000 0.0000 0.0000
```

Calculated values
N(E_F) in states/eV/atom: 0.43
Formation energy in eV per atom: -0.238
V in Å³ per atom: 30.83

***

## RbLi2HgPd (GGA-PBE)

Data for a relaxed RbLi2HgPd crystal.

Cell and atoms, written as extended XYZ:
```
5
Lattice="5.0411 0.0000 0.0000 0.0000 5.0411 0.0000 0.0000 0.0000 5.4342" Properties=species:S:1:pos:R:3 pbc="T T T"
Pd 0.0000 0.0000 0.0000
Hg 0.0000 0.0000 2.7171
Li 2.5205 0.0000 0.0000
Li 0.0000 2.5205 0.0000
Rb 2.5205 2.5205 2.7171
```

Calculated values
N(E_F) in states/eV/atom: 0.45
Formation energy in eV per atom: -0.166
V in Å³ per atom: 27.62

***

## RbLiHg2Pd (GGA-PBE)

Data for a relaxed RbLiHg2Pd crystal.

Cell and atoms, written as extended XYZ:
```
5
Lattice="-5.0706 0.6530 -1.8440 1.3468 -2.5502 -4.6066 -1.2862 -4.3108 2.0104" Properties=species:S:1:pos:R:3 pbc="T T T"
Li -0.6431 -2.1554 1.0052
Rb -2.5050 -3.1040 -2.2200
Pd 0.0000 0.0000 0.0000
Hg 0.6734 -1.2751 -2.3033
Hg -2.5353 0.3265 -0.9220
```

Calculated values
N(E_F) in states/eV/atom: 0.32
Formation energy in eV per atom: -0.239
V in Å³ per atom: 29.11

***

## LiHgPd2S (GGA-PBE)

Data for a relaxed LiHgPd2S crystal.

Cell and atoms, written as extended XYZ:
```
5
Lattice="4.6030 0.0000 0.0000 0.0000 4.6030 0.0000 0.0000 0.0000 4.3914" Properties=species:S:1:pos:R:3 pbc="T T T"
S 0.0000 0.0000 0.0000
Li 0.0000 0.0000 2.1957
Pd 2.3015 0.0000 0.0000
Pd 0.0000 2.3015 0.0000
Hg 2.3015 2.3015 2.1957
```

Calculated values
N(E_F) in states/eV/atom: 0.41
V in Å³ per atom: 18.61
Raw formation energy in meV/atom: -335.1

***

## LiHgSbPd (GGA-PBE)

Data for a relaxed LiHgSbPd crystal.

Cell and atoms, written as extended XYZ:
```
4
Lattice="-3.8809 -0.5211 -2.6823 -2.0773 -4.2517 -0.3678 -4.2133 -0.7676 2.0460" Properties=species:S:1:pos:R:3 pbc="T T T"
Sb -2.5429 -1.3851 -0.2510
Li 0.0000 0.0000 0.0000
Hg -7.6286 -4.1553 -0.7530
Pd -5.0858 -2.7702 -0.5020
```

Calculated values
N(E_F) in states/eV/atom: 0.37
V in Å³ per atom: 18.90
Raw formation energy in meV/atom: -322.1

***

## Li2Si2HgPd5 (GGA-PBE)

Data for a relaxed Li2Si2HgPd5 crystal.

Cell and atoms, written as extended XYZ:
```
20
Lattice="-2.4452 0.1710 -2.5770 -4.0365 -7.9765 3.3008 -5.6210 5.1940 5.6780" Properties=species:S:1:pos:R:3 pbc="T T T"
Si -4.0401 2.2427 3.9822
Si -2.2200 -2.3113 1.9531
Si -7.4374 -0.4711 7.0257
Si -5.6173 -5.0252 4.9965
Pd -4.0331 2.6825 1.5505
Pd -2.5014 -1.2052 -0.1607
Pd -3.2408 -3.9028 0.3619
Pd -4.5580 -1.7978 1.7513
Pd -5.9625 3.5776 3.4406
Pd -9.6012 -1.4063 6.5625
Pd -6.1400 -6.1891 2.9611
Pd -5.6251 0.7728 2.9344
Pd -6.4775 -3.3843 3.4673
Pd -7.5446 -0.8138 4.6504
Li -3.6627 -4.4621 3.1793
Li -7.1168 -3.1368 6.5445
Li -2.5407 0.3543 2.4342
Li -5.9947 1.6796 5.7994
Hg 0.0000 0.0000 0.0000
Hg -4.8287 -1.3912 4.4894
```

Calculated values
N(E_F) in states/eV/atom: 0.22
V in Å³ per atom: 16.15
Raw formation energy in meV/atom: -523.4

***

## LiSmHgPd (GGA-PBE)

Data for a relaxed LiSmHgPd crystal.

Cell and atoms, written as extended XYZ:
```
4
Lattice="4.9544 0.0000 0.0000 2.4772 4.2906 0.0000 2.4772 1.4302 4.0453" Properties=species:S:1:pos:R:3 pbc="T T T"
Pd 2.4772 1.4302 1.0113
Hg 7.4316 4.2906 3.0339
Sm 4.9544 2.8604 2.0226
Li 0.0000 0.0000 0.0000
```

Calculated values
N(E_F) in states/eV/atom: 0.60
Formation energy in eV per atom: -0.482
Excess energy over the best structure of this formula in the dataset in meV per atom: 0
V in Å³ per atom: 21.50

***

## LiSmHgPd (GGA-PBE)

Data for a relaxed LiSmHgPd crystal.

Cell and atoms, written as extended XYZ:
```
4
Lattice="-3.1903 0.3623 3.4528 3.4478 -0.2197 3.2088 0.1882 3.5671 -3.4197" Properties=species:S:1:pos:R:3 pbc="T T T"
Pd 0.4447 3.7098 3.2409
Sm 1.8816 1.7094 1.5592
Hg -1.4355 2.0003 1.6830
Li 0.1293 0.0713 3.3313
```

Calculated values
N(E_F) in states/eV/atom: 0.97
Formation energy in eV per atom: -0.462
Excess energy over the best structure of this formula in the dataset in meV per atom: 20
V in Å³ per atom: 20.30

***

## SrLiHg4Pd2 (GGA-PBE)

Data for a relaxed SrLiHg4Pd2 crystal.

Cell and atoms, written as extended XYZ:
```
8
Lattice="-0.1060 3.8095 -2.8444 -2.6900 3.7499 1.1472 5.9366 6.0705 3.9338" Properties=species:S:1:pos:R:3 pbc="T T T"
Sr 0.0000 0.0000 0.0000
Hg -0.0844 8.9612 0.0792
Hg 3.2249 4.6687 2.1574
Hg -0.5462 5.7208 -0.2682
Hg 3.6867 7.9091 2.5048
Pd 0.9941 3.5155 0.6961
Pd 2.1464 10.1144 1.5406
Li 1.5703 6.8149 1.1183
```

Calculated values
N(E_F) in states/eV/atom: 0.32
Formation energy in eV per atom: -0.358
V in Å³ per atom: 21.90

***

## SrLi4HgPd2 (GGA-PBE)

Data for a relaxed SrLi4HgPd2 crystal.

Cell and atoms, written as extended XYZ:
```
8
Lattice="4.4845 0.0000 0.0000 2.2423 3.8837 0.0000 2.2423 1.2946 8.6429" Properties=species:S:1:pos:R:3 pbc="T T T"
Li 4.4845 2.5891 1.7850
Li 6.7268 3.8837 3.4043
Li 4.4845 2.5891 6.8578
Li 2.2423 1.2946 5.2386
Pd 6.7268 3.8837 6.3087
Pd 2.2423 1.2946 2.3342
Hg 4.4845 2.5891 4.3214
Sr 0.0000 0.0000 0.0000
```

Calculated values
N(E_F) in states/eV/atom: 0.47
Formation energy in eV per atom: -0.326
V in Å³ per atom: 18.82

***

## SrLi2HgPd (GGA-PBE)

Data for a relaxed SrLi2HgPd crystal.

Cell and atoms, written as extended XYZ:
```
5
Lattice="-1.2426 -1.6653 -4.3648 -1.2047 -4.2496 1.9643 -5.0047 1.7659 0.7510" Properties=species:S:1:pos:R:3 pbc="T T T"
Hg -2.5024 0.8829 0.3755
Pd 0.0000 0.0000 0.0000
Li -0.6023 -2.1248 0.9822
Li -0.6213 -0.8327 -2.1824
Sr -3.7260 -2.0745 -0.8247
```

Calculated values
N(E_F) in states/eV/atom: 0.44
Formation energy in eV per atom: -0.282
V in Å³ per atom: 25.05

***

## Sr2LiHg2Pd5 (GGA-PBE)

Data for a relaxed Sr2LiHg2Pd5 crystal.

Cell and atoms, written as extended XYZ:
```
20
Lattice="-1.2588 1.8287 -3.2629 -9.7611 -0.6174 3.4197 1.0741 9.1610 4.7199" Properties=species:S:1:pos:R:3 pbc="T T T"
Pd -0.3103 8.3204 2.3962
Pd -5.3246 6.8710 3.5183
Pd -4.6212 3.5013 1.3584
Pd -3.0795 5.8214 2.0639
Pd -9.6355 2.0518 2.4805
Pd -5.5099 0.6056 0.0784
Pd -6.8663 4.5509 2.8128
Pd -7.5447 9.0545 5.5985
Pd -0.0923 5.4948 0.7285
Pd -2.4010 1.3178 -0.7219
Sr -6.3688 1.1550 3.1043
Sr -1.3192 2.9053 2.1372
Sr -2.3182 7.3886 5.0353
Sr -7.3677 5.6383 6.0024
Hg -0.5850 5.6840 3.4113
Hg -3.4810 0.9543 1.8778
Hg -8.1020 2.8596 4.7283
Hg -5.2059 7.5893 6.2618
Li -4.3435 4.2718 4.0698
Li 0.0000 0.0000 0.0000
```

Calculated values
N(E_F) in states/eV/atom: 0.29
Formation energy in eV per atom: -0.366
V in Å³ per atom: 21.18

***

## SrLiHg2Pd2 (GGA-PBE)

Data for a relaxed SrLiHg2Pd2 crystal.

Cell and atoms, written as extended XYZ:
```
6
Lattice="4.8073 0.0000 0.0000 0.0000 4.8073 0.0000 0.0000 0.0000 5.8898" Properties=species:S:1:pos:R:3 pbc="T T T"
Hg 0.0000 2.4037 0.0000
Hg 2.4037 0.0000 0.0000
Sr 0.0000 0.0000 2.9449
Pd 2.4037 2.4037 4.3265
Pd 2.4037 2.4037 1.5633
Li 0.0000 0.0000 0.0000
```

Calculated values
N(E_F) in states/eV/atom: 0.43
Formation energy in eV per atom: -0.135
V in Å³ per atom: 22.69

***

## Li2TbHgPd2 (GGA-PBE)

Data for a relaxed Li2TbHgPd2 crystal.

Cell and atoms, written as extended XYZ:
```
6
Lattice="-3.7007 2.3164 0.7811 0.1250 -4.3444 0.8839 2.0526 1.2708 5.9558" Properties=species:S:1:pos:R:3 pbc="T T T"
Tb 0.0000 0.0000 0.0000
Pd -0.6804 -1.8333 2.2128
Pd -0.8426 1.0761 5.4080
Li 0.2000 -1.2882 4.7674
Li -1.7231 0.5310 2.8535
Hg 1.0263 0.6354 2.9779
```

Calculated values
N(E_F) in states/eV/atom: 0.36
Formation energy in eV per atom: -0.536
V in Å³ per atom: 18.25

***

## Li2TcHgPd (GGA-PBE)

Data for a relaxed Li2TcHgPd crystal.

Cell and atoms, written as extended XYZ:
```
5
Lattice="-0.5484 -2.7784 -3.3641 -1.9544 -3.5675 3.2648 -4.0400 1.6038 -0.6660" Properties=species:S:1:pos:R:3 pbc="T T T"
Tc -3.2714 -2.3710 -0.3826
Hg -0.9772 -1.7837 1.6324
Pd 0.0000 0.0000 0.0000
Li -0.2742 -1.3892 -1.6821
Li -2.0200 0.8019 -0.3330
```

Calculated values
N(E_F) in states/eV/atom: 0.93
Formation energy in eV per atom: 0.731
V in Å³ per atom: 20.17

***

## LiHgTePd (GGA-PBE)

Data for a relaxed LiHgTePd crystal.

Cell and atoms, written as extended XYZ:
```
4
Lattice="4.8282 0.0000 0.0000 2.4141 4.1813 0.0000 2.4141 1.3938 3.9422" Properties=species:S:1:pos:R:3 pbc="T T T"
Te 2.4141 1.3938 0.9855
Pd 0.0000 0.0000 0.0000
Li 4.8282 2.7875 1.9711
Hg 7.2422 4.1813 2.9566
```

Calculated values
N(E_F) in states/eV/atom: 0.53
V in Å³ per atom: 19.90
Raw formation energy in meV/atom: -336.4

***

## Li5TlHg2Pd2 (GGA-PBE)

Data for a relaxed Li5TlHg2Pd2 crystal.

Cell and atoms, written as extended XYZ:
```
20
Lattice="-0.9193 -3.1047 2.3332 4.6329 -5.8023 -5.8955 7.9784 1.3505 4.9406" Properties=species:S:1:pos:R:3 pbc="T T T"
Pd 2.6919 -2.0985 -1.7318
Pd 9.9195 -2.3533 0.7769
Pd 5.4043 0.1757 2.3631
Pd 7.2070 -4.6275 -3.3181
Li 5.4872 -6.6232 -3.2379
Li 3.8160 -3.6128 0.1094
Li 1.8568 -4.4535 -1.7812
Li 3.5296 -0.8771 3.6369
Li 6.2049 -0.9333 4.6162
Li 5.4918 -2.4579 2.3064
Li 6.2003 -5.0986 -0.9282
Li 1.1279 -2.6639 0.3130
Li 10.5642 -4.8926 1.0652
Li 7.8760 -3.9437 1.2688
Hg 4.5873 -3.7027 -3.1197
Hg 9.2245 -3.8391 -1.4741
Hg 3.3868 -0.6127 0.5191
Hg 8.0240 -0.7491 2.1648
Tl 0.0000 0.0000 0.0000
Tl 6.3057 -2.2259 -0.4775
```

Calculated values
N(E_F) in states/eV/atom: 0.33
Formation energy in eV per atom: -0.317
V in Å³ per atom: 17.94

***

## LiTl2Hg2Pd5 (GGA-PBE)

Data for a relaxed LiTl2Hg2Pd5 crystal.

Cell and atoms, written as extended XYZ:
```
20
Lattice="-0.0453 -0.4815 3.1012 -4.6498 -9.7129 -1.5758 9.8386 -4.6170 -0.5731" Properties=species:S:1:pos:R:3 pbc="T T T"
Tl -1.5008 -7.1323 -1.1292
Tl 2.6183 -3.1178 -0.4458
Tl 6.6897 -7.1976 -1.0197
Tl 2.5706 -11.2120 -1.7031
Pd 8.9259 -6.7168 0.6759
Pd 4.4550 -8.2893 0.3664
Pd 1.6819 -9.2648 0.1745
Pd 0.6886 -6.5220 0.5858
Pd 4.8967 -2.5492 1.2640
Pd 3.2831 -13.6868 -0.4886
Pd 1.8605 -1.1245 1.4409
Pd -2.3475 -5.0972 0.7627
Pd -3.7823 -8.0945 0.2764
Pd 3.4617 -5.5465 0.7777
Hg -0.0795 -4.0667 -0.6325
Hg 5.2684 -10.2631 -1.5164
Hg -0.5346 -9.8006 -1.5294
Hg 5.7235 -4.5293 -0.6196
Li 0.0000 0.0000 0.0000
Li 2.5944 -7.1649 -1.0745
```

Calculated values
N(E_F) in states/eV/atom: 0.52
Formation energy in eV per atom: -0.088
V in Å³ per atom: 18.59

***

## LiTlHg2Pd (GGA-PBE)

Data for a relaxed LiTlHg2Pd crystal.

Cell and atoms, written as extended XYZ:
```
5
Lattice="5.3084 0.0000 0.0000 0.0000 5.3084 0.0000 0.0000 0.0000 4.6861" Properties=species:S:1:pos:R:3 pbc="T T T"
Hg 0.0000 2.6542 0.0000
Hg 2.6542 0.0000 0.0000
Tl 2.6542 2.6542 2.3431
Pd 0.0000 0.0000 0.0000
Li 0.0000 0.0000 2.3431
```

Calculated values
N(E_F) in states/eV/atom: 0.53
Formation energy in eV per atom: -0.064
V in Å³ per atom: 26.41

***

## LiTlHgPd (GGA-PBE)

Data for a relaxed LiTlHgPd crystal.

Cell and atoms, written as extended XYZ:
```
4
Lattice="4.7631 0.0000 0.0000 2.3815 4.1249 0.0000 2.3815 1.3750 3.8890" Properties=species:S:1:pos:R:3 pbc="T T T"
Hg 2.3815 1.3750 0.9723
Li 0.0000 0.0000 0.0000
Tl 7.1446 4.1249 2.9168
Pd 4.7631 2.7500 1.9445
```

Calculated values
N(E_F) in states/eV/atom: 0.34
Formation energy in eV per atom: -0.277
V in Å³ per atom: 19.10

***

## Li2Tl2HgPd5 (GGA-PBE)

Data for a relaxed Li2Tl2HgPd5 crystal.

Cell and atoms, written as extended XYZ:
```
20
Lattice="-0.9257 -3.0192 -2.2574 9.0805 -1.3893 -1.8655 0.6430 -5.7256 7.3939" Properties=species:S:1:pos:R:3 pbc="T T T"
Li 3.5004 -1.2291 0.2084
Li 8.2036 -3.3752 1.1502
Li 1.5199 -3.7397 4.3783
Li 6.2231 -5.8858 5.3200
Pd -0.1413 -4.3724 2.5682
Pd 0.8022 -6.1902 4.6125
Pd 1.4303 -2.2654 -0.8941
Pd 7.9956 -3.9439 -1.3415
Pd 5.2815 -6.3422 2.9791
Pd 6.1855 -4.8741 0.6449
Pd 3.5163 -3.7918 0.2919
Pd 2.6123 -5.2599 2.6261
Pd 4.0774 -2.2042 -2.0614
Pd 7.3675 -7.8686 4.1651
Tl 6.2041 -1.9121 0.0133
Tl 3.5194 -5.2028 5.5152
Tl 7.9582 -4.9941 3.4159
Tl 1.7653 -2.1208 2.1126
Hg 0.0000 0.0000 0.0000
Hg 4.8618 -3.5574 2.7642
```

Calculated values
N(E_F) in states/eV/atom: 0.37
Formation energy in eV per atom: -0.251
V in Å³ per atom: 17.05